The following is a DFT calculation (GGA-PBE) of an optimized crystal structure of AcMg4Pb.

As for the density: 4.52 g/cm³. The formation energy is 158 meV per atom.

The structure belongs to space group P4/mmm (No. 123); the cell edges are 5.448, 5.448 and 6.572 Å and the angles 90.00°, 90.00° and 90.00°. The inequivalent atoms are Ac at (0.000, 0.000, 0.000), Mg at (0.000, 0.500, 0.500), Mg at (0.500, 0.500, 0.229) and Pb at (0.000, 0.000, 0.500).


The following is a DFT calculation (GGA-PBE) of an optimized crystal structure of AcMgPb4.

As for the density: 9.08 g/cm³. The formation energy is -129 meV per atom.

The structure belongs to space group F-43m (No. 216); the cell edges are 9.245, 9.245 and 9.245 Å and the angles 90.00°, 90.00° and 90.00°. The inequivalent atoms are Ac at (0.000, 0.000, 0.000), Mg at (0.250, 0.250, 0.250) and Pb at (0.125, 0.125, 0.625).


The following is a DFT calculation (GGA-PBE) of an optimized crystal structure of AcMgPd3Pb.

As for the density: 9.21 g/cm³. The formation energy is -477 meV per atom.

The structure belongs to space group Cmcm (No. 63); the cell edges are 5.985, 13.024 and 7.194 Å and the angles 90.00°, 90.00° and 90.00°. The inequivalent atoms are Ac at (0.000, 0.166, 0.250), Mg at (0.000, 0.429, 0.250), Pd at (0.000, 0.359, 0.750), Pd at (0.236, 0.000, 0.000) and Pb at (0.000, 0.142, 0.750).


The following is a DFT calculation (GGA-PBE) of an optimized crystal structure of Ac2MgPd6Pb.

As for the density: 9.64 g/cm³. The formation energy is -577 meV per atom.

The structure belongs to space group P-1 (No. 2); the cell edges are 5.712, 6.884 and 6.987 Å and the angles 81.51°, 65.88° and 65.52°. The inequivalent atoms are Ac at (0.247, 0.284, 0.223), Mg at (0.500, 0.500, 0.500), Pd at (0.242, 0.269, 0.757), Pd at (0.255, 0.923, 0.569), Pd at (0.265, 0.732, 0.244) and Pb at (0.000, 0.000, 0.000).


The following is a DFT calculation (GGA-PBE) of an optimized crystal structure of AcMgPdPb.

As for the density: 8.77 g/cm³. The formation energy is -407 meV per atom.

The structure belongs to space group F-43m (No. 216); the cell edges are 7.535, 7.535 and 7.535 Å and the angles 90.00°, 90.00° and 90.00°. The inequivalent atoms are Ac at (0.000, 0.000, 0.000), Mg at (0.000, 0.000, 0.500), Pd at (0.250, 0.250, 0.750) and Pb at (0.250, 0.250, 0.250).


The following is a DFT calculation (GGA-PBE) of an optimized crystal structure of AcPmMgPb.

As for the density: 7.77 g/cm³. The formation energy is -279 meV per atom.

The structure belongs to space group F-43m (No. 216); the cell edges are 8.019, 8.019 and 8.019 Å and the angles 90.00°, 90.00° and 90.00°. The inequivalent atoms are Ac at (0.000, 0.000, 0.000), Pm at (0.000, 0.000, 0.500), Mg at (0.250, 0.250, 0.250) and Pb at (0.250, 0.250, 0.750).


The following is a DFT calculation (GGA-PBE) of an optimized crystal structure of AcPr2Mg2Pb2.

As for the density: 7.36 g/cm³. The formation energy is -248 meV per atom.

The structure belongs to space group R-3m (No. 166, hexagonal axes); the cell edges are 5.1720, 5.1720 and 28.3886 Å and the angles 90.00°, 90.00° and 120.00°. The inequivalent atoms are Ac at (0.0000, 0.0000, 0.0000), Pr at (0.0000, 0.0000, 0.1333), Mg at (0.0000, 0.0000, 0.4188) and Pb at (0.0000, 0.0000, 0.2631).


The following is a DFT calculation (GGA-PBE) of an optimized crystal structure of Ac2MgPtPb.

As for the density: 9.53 g/cm³. The formation energy is -736 meV per atom.

The structure belongs to space group P2_1/m (No. 11); the cell edges are 8.284, 4.733 and 8.323 Å and the angles 90.00°, 109.91° and 90.00°. The inequivalent atoms are Ac at (0.100, 0.250, 0.328), Ac at (0.289, 0.250, 0.967), Mg at (0.438, 0.750, 0.335), Pt at (0.118, 0.750, 0.091) and Pb at (0.326, 0.750, 0.656).